# LiMgHPt2 (PBE, optimized geometry)
# - DOS at the Fermi energy (states/eV per cell) = 0.4
# - relative energy among the computed polymorphs (kJ/mol of formula units) = 0
# - energy (eV per atom) = -4.411
# - total magnetic moment (μB per cell) = 0.000
data_LiMgHPt2
_chemical_formula_sum 'Li1 Mg1 H1 Pt2'
_symmetry_space_group_name_H-M 'P 4/m m m'
_symmetry_Int_Tables_number 123
_symmetry_space_group_name_Hall '-P 4 2'
_cell_length_a 4.011
_cell_length_b 4.011
_cell_length_c 3.844
_cell_angle_alpha 90.00
_cell_angle_beta 90.00
_cell_angle_gamma 90.00
loop_
_atom_site_label
_atom_site_fract_x
_atom_site_fract_y
_atom_site_fract_z
_atom_site_occupancy
Li1 0.000 0.000 0.000 1
Mg1 0.500 0.500 0.000 1
H1 0.000 0.000 0.500 1
Pt1 0.000 0.500 0.500 1